# 1
The following is a PBE calculation of a geometry-optimized HfGeIr3 structure, from Alexandria. Values from VASP.

E above lowest polymorph (eV per atom): 0.000
Space-group type: Pm-3m

Cell and atoms, written as Quantum ESPRESSO input:
```
&SYSTEM
  ibrav = 0, nat = 5, ntyp = 3
/
ATOMIC_SPECIES
Hf 178.49 Hf.upf
Ir 192.22 Ir.upf
Ge 72.64 Ge.upf
ATOMIC_POSITIONS crystal
Hf 0.500 0.500 0.500
Ir 0.000 0.500 0.000
Ir 0.000 0.000 0.500
Ir 0.500 0.000 0.000
Ge 0.000 0.000 0.000
CELL_PARAMETERS angstrom
-1.765 -2.494 -3.351
0.258 -3.696 2.615
-4.169 0.827 1.580
```



# 2
The following is a PBE calculation of a geometry-optimized Hf8GeIr2 structure, from Alexandria. Values from VASP.

Space-group type: C2/m

Cell and atoms, written as Quantum ESPRESSO input:
```
&SYSTEM
  ibrav = 0, nat = 11, ntyp = 3
/
ATOMIC_SPECIES
Hf 178.49 Hf.upf
Ir 192.22 Ir.upf
Ge 72.64 Ge.upf
ATOMIC_POSITIONS crystal
Hf 0.981 0.237 0.962
Hf 0.674 0.010 0.347
Hf 0.793 0.650 0.585
Hf 0.407 0.523 0.813
Hf 0.593 0.477 0.187
Hf 0.019 0.763 0.038
Hf 0.207 0.350 0.415
Hf 0.326 0.990 0.653
Ir 0.168 0.743 0.336
Ir 0.832 0.257 0.664
Ge 0.500 0.000 0.000
CELL_PARAMETERS angstrom
4.653 0.000 0.000
0.000 6.027 -0.011
-2.326 -2.617 8.111
```



# 3
The following is a PBE calculation of a geometry-optimized Hf4Ge2Ir structure, from Alexandria. Values from VASP.

Space-group type: Cc

Cell and atoms, written as Quantum ESPRESSO input:
```
&SYSTEM
  ibrav = 0, nat = 14, ntyp = 3
/
ATOMIC_SPECIES
Hf 178.49 Hf.upf
Ge 72.64 Ge.upf
Ir 192.22 Ir.upf
ATOMIC_POSITIONS crystal
Hf 0.246 0.118 0.741
Hf 0.530 0.775 0.900
Hf 0.025 0.280 0.399
Hf 0.725 0.084 0.714
Hf 0.368 0.996 0.242
Hf 0.860 0.646 0.623
Hf 0.334 0.475 0.214
Hf 0.897 0.610 0.123
Ge 0.751 0.869 0.358
Ge 0.618 0.271 0.151
Ge 0.119 0.501 0.858
Ge 0.521 0.368 0.651
Ir 0.266 0.741 0.513
Ir 0.992 0.016 0.013
CELL_PARAMETERS angstrom
-6.193 1.890 2.575
-1.347 -3.691 -5.755
4.146 -3.937 5.051
```



# 4
The following is a PBE calculation of a geometry-optimized Hf4Ge6Ir7 structure, from Alexandria. Values from VASP.

Space-group type: Im-3m

Cell and atoms, written as Quantum ESPRESSO input:
```
&SYSTEM
  ibrav = 0, nat = 17, ntyp = 3
/
ATOMIC_SPECIES
Ge 72.64 Ge.upf
Ir 192.22 Ir.upf
Hf 178.49 Hf.upf
ATOMIC_POSITIONS crystal
Ge 0.000 0.313 0.313
Ge 0.000 0.687 0.687
Ge 0.313 0.313 0.000
Ge 0.313 0.000 0.313
Ge 0.687 0.687 0.000
Ge 0.687 0.000 0.687
Ir 0.500 0.250 0.750
Ir 0.250 0.750 0.500
Ir 0.250 0.500 0.750
Ir 0.750 0.250 0.500
Ir 0.500 0.750 0.250
Ir 0.750 0.500 0.250
Ir 0.000 0.000 0.000
Hf 0.500 0.500 0.500
Hf 0.000 0.500 0.000
Hf 0.000 0.000 0.500
Hf 0.500 0.000 0.000
CELL_PARAMETERS angstrom
6.704 0.000 -2.370
-3.352 5.806 -2.370
0.000 0.000 7.110
```



Number 1: energy of formation from the pure elements 0.49 eV/atom. Number 2: energy of formation from the pure elements -0.43 eV/atom. Number 3: energy of formation from the pure elements -0.58 eV/atom. Number 4: energy of formation from the pure elements -0.74 eV/atom.